# B3C7 | Alexandria via LeMat-Bulk | PBE-GGA | relaxed
data_B3C7
_symmetry_space_group_name_H-M 'P 1'
_symmetry_Int_Tables_number 1
_cell_length_a 10.167
_cell_length_b 10.167
_cell_length_c 10.167
_cell_angle_alpha 165.99
_cell_angle_beta 165.68
_cell_angle_gamma 20.08
loop_
_symmetry_equiv_pos_as_xyz
'x,y,z'
loop_
_atom_site_label
_atom_site_fract_x
_atom_site_fract_y
_atom_site_fract_z
B1 0.000 0.000 0.000
B2 0.195 0.195 0.000
B3 0.933 0.433 0.500
C1 0.141 0.641 0.500
C2 0.338 0.838 0.500
C3 0.381 0.381 0.000
C4 0.552 0.052 0.500
C5 0.597 0.597 0.000
C6 0.748 0.248 0.500
C7 0.791 0.791 0.000
# E_form in eV per atom: 0.282
# Uncorrected energy in eV per atom: -8.178
# Crystal system: orthorhombic
# Excess energy over the best structure of this formula in the dataset in eV per atom: 0.0197